32
Lattice="6.827 0.000 -1.186 0.000 7.164 0.000 0.595 0.000 9.421" Properties=species:S:1:pos:R:3 comment="GGA-PBE Pa2ReN5, optimized geometry" dos_ef_per_ev_atom=0.5199 m_tot_mub_per_cell=0.0 spacegroup=P2_1/c raw_formation_energy_kcal_per_mol_atoms=-24.0 pbc="T T T"
Pa 5.110 6.305 -0.708
Pa 1.696 4.441 -0.115
Pa 3.491 6.110 2.640
Pa 6.905 4.636 2.047
Pa 0.518 2.528 6.188
Pa 3.931 1.054 5.595
Pa 5.726 2.723 8.350
Pa 2.312 0.859 8.943
Re 3.500 2.823 2.212
Re 6.914 0.759 1.620
Re 0.508 6.406 6.616
Re 3.922 4.341 6.023
N 6.496 1.030 -0.261
N 6.343 4.404 -0.118
N 3.083 2.553 0.332
N 2.930 6.342 0.475
N 5.532 6.503 1.619
N 0.259 2.300 3.805
N 2.118 4.243 2.212
N 4.763 4.072 2.617
N 3.672 1.283 3.212
N 1.350 6.675 3.209
N 6.072 0.489 5.026
N 3.750 5.882 5.023
N 2.659 3.093 5.618
N 5.304 2.921 6.023
N 7.163 4.865 4.430
N 1.890 0.661 6.616
N 4.492 0.822 7.760
N 4.339 4.612 7.903
N 1.079 2.760 8.353
N 0.926 6.135 8.496